Entry 1:
Density functional theory data (GGA-PBE) for ErZr2Os after structural relaxation.

```
ErZr2Os
1.0
4.862 0.000 0.000
2.431 4.211 0.000
2.431 1.404 3.972
Er Os Zr
1 1 2
Cartesian
4.862 2.807 1.986 Er
0.000 0.000 0.000 Os
2.431 1.404 0.992 Zr
7.294 4.211 2.980 Zr
```

Values from the calculation:
density: 11.02 Mg/m³
DFT formation energy: -0.033 eV/atom
crystal system: cubic

---

Entry 2:
Density functional theory data (GGA-PBE) for CuReTc2 after structural relaxation.

```
CuReTc2
1.0
4.675 -0.022 0.000
1.513 4.423 0.000
-3.094 -2.201 2.727
Tc Re Cu
2 1 1
Cartesian
3.094 2.201 0.000 Tc
0.000 0.000 0.000 Tc
2.337 -0.011 1.364 Re
0.756 2.212 1.364 Cu
```

Values from the calculation:
energy above the lowest structure with this stoichiometry: 63 meV/atom
density: 13.10 Mg/m³
DFT formation energy: 0.208 eV/atom
crystal system: tetragonal

---

Entry 3:
Density functional theory data (GGA-PBE) for BaCa2Al after structural relaxation.

```
BaCa2Al
1.0
-3.747 -0.276 -0.712
0.762 -1.547 -3.413
-0.113 -9.453 4.260
Ca Al Ba
2 1 1
Cartesian
-0.048 -4.033 1.818 Ca
-0.008 -0.693 0.312 Ca
-1.521 -3.275 -0.997 Al
-1.577 -8.001 1.133 Ba
```

Values from the calculation:
density: 2.68 Mg/m³
DFT formation energy: -0.052 eV/atom
crystal system: tetragonal

---

Entry 4:
Density functional theory data (GGA-PBE) for K2TlAg2 after structural relaxation.

```
K2TlAg2
1.0
-2.238 -0.355 -4.610
1.182 -4.995 -0.189
-6.649 -4.241 0.693
Ag K Tl
2 2 1
Cartesian
-1.699 -2.975 -1.808 Ag
-6.005 -6.616 -2.298 Ag
-4.707 -3.636 -3.158 K
-2.997 -5.955 -0.948 K
0.000 0.000 0.000 Tl
```

Values from the calculation:
energy above the lowest structure with this stoichiometry: 294 meV/atom
density: 4.46 Mg/m³
DFT formation energy: 0.268 eV/atom
crystal system: tetragonal

---

Entry 5:
Density functional theory data (GGA-PBE) for LiPuInAg after structural relaxation.

```
LiPuInAg
1.0
4.966 0.000 0.000
2.483 4.301 0.000
2.483 1.434 4.055
Ag Li In Pu
1 1 1 1
Cartesian
2.483 1.434 1.014 Ag
7.449 4.301 3.041 Li
4.966 2.867 2.027 In
0.000 0.000 0.000 Pu
```

Values from the calculation:
energy above the lowest structure with this stoichiometry: 104 meV/atom
density: 9.08 Mg/m³
DFT formation energy: -0.049 eV/atom
crystal system: cubic

---

Entry 6:
Density functional theory data (GGA-PBE) for BPtC3 after structural relaxation.

```
BPtC3
1.0
3.993 0.000 0.000
0.000 3.993 0.000
0.000 0.000 3.993
C B Pt
3 1 1
Cartesian
0.000 0.000 1.996 C
0.000 1.996 0.000 C
1.996 0.000 0.000 C
1.996 1.996 1.996 B
0.000 0.000 0.000 Pt
```

Values from the calculation:
energy above the lowest structure with this stoichiometry: 918 meV/atom
density: 6.31 Mg/m³
DFT formation energy: 3.268 eV/atom
crystal system: cubic

---

Entry 7:
Density functional theory data (GGA-PBE) for SrAlCd2Co after structural relaxation.

```
SrAlCd2Co
1.0
6.064 0.000 0.000
0.000 4.893 0.000
0.000 0.000 6.064
Co Cd Sr Al
1 2 1 1
Cartesian
0.000 2.446 0.000 Co
3.032 0.000 0.000 Cd
0.000 0.000 3.032 Cd
0.000 0.000 0.000 Sr
3.032 2.446 3.032 Al
```

Values from the calculation:
density: 3.68 Mg/m³
DFT formation energy: 1.358 eV/atom
crystal system: tetragonal

---

Entry 8:
Density functional theory data (GGA-PBE) for ScTcP2 after structural relaxation.

```
ScTcP2
1.0
-2.645 -1.717 2.409
2.409 -2.090 1.155
1.088 3.162 3.448
Sc Tc P
1 1 2
Cartesian
-0.448 -0.590 2.355 Sc
1.300 -0.054 4.657 Tc
2.327 -0.059 2.513 P
1.830 -1.494 0.944 P
```

Values from the calculation:
energy above the lowest structure with this stoichiometry: 149 meV/atom
density: 5.26 Mg/m³
DFT formation energy: -0.696 eV/atom
crystal system: orthorhombic

---

no.,E_tot (eV per atom)
1,-8.26
2,-9.11
3,-2.47
4,-1.78
5,-5.51
6,-4.81
7,-1.51
8,-7.57